*a*
A plane-wave DFT calculation with GGA-PBE was carried out for SrYN2F after structural relaxation.

POSCAR file:
```
SrYN2F
1.0
4.439 0.000 0.000
0.000 4.439 0.000
0.000 0.000 4.427
Sr Y N F
1 1 2 1
Cartesian
0.000 0.000 0.000 Sr
2.219 2.219 2.214 Y
0.000 2.219 2.214 N
2.219 0.000 2.214 N
2.219 2.219 0.000 F
```

As for the total moment: 0.79 μB/f.u.

=====

*b*
A plane-wave DFT calculation with GGA-PBE was carried out for SrYN2F after structural relaxation.

POSCAR file:
```
SrYN2F
1.0
4.490 0.000 0.000
0.000 4.490 0.000
0.000 0.000 4.332
Sr Y N F
1 1 2 1
Cartesian
0.000 0.000 0.000 Sr
2.245 2.245 2.166 Y
0.000 2.245 0.000 N
2.245 0.000 0.000 N
0.000 0.000 2.166 F
```

As for the total moment: 0.49 μB/f.u.

=====

Most stable: *a*. Least stable: *b*.

=====

*a*
A plane-wave DFT calculation with GGA-PBE was carried out for TaNF3 after structural relaxation.

POSCAR file:
```
TaNF3
1.0
3.950 0.000 0.000
0.000 3.950 0.000
0.000 0.000 3.950
Ta N F
1 1 3
Cartesian
0.000 0.000 0.000 Ta
1.975 1.975 1.975 N
0.000 1.975 1.975 F
1.975 0.000 1.975 F
1.975 1.975 0.000 F
```

As for the total moment: 1.49 μB/f.u.

=====

*b*
A plane-wave DFT calculation with GGA-PBE was carried out for TaNF3 after structural relaxation.

POSCAR file:
```
TaNF3
1.0
4.095 0.000 0.000
0.000 4.095 0.000
0.000 0.000 4.095
Ta N F
1 1 3
Cartesian
0.000 0.000 0.000 Ta
2.048 2.048 2.048 N
0.000 0.000 2.048 F
0.000 2.048 0.000 F
2.048 0.000 0.000 F
```

As for the total moment: 3.51 μB/f.u.

=====

Most stable: *b*. Least stable: *a*.